Here is a relaxed structure of As2PdAu from OQMD via LeMat-Bulk. Energies are from PBE.

The value obtained for the theoretical density is 10.52 g/cm³. As for the excess energy over the best structure of this formula in the dataset: 148 meV/atom.

Cell and atoms, written as POSCAR:
```
As2PdAu
1.0
0.000 3.295 3.295
3.295 0.000 3.295
3.295 3.295 0.000
Pd Au As
1 1 2
Cartesian
3.295 3.295 3.295
1.648 1.648 1.648
4.943 4.943 4.943
0.000 0.000 0.000
```

***

Here is a relaxed structure of As5Pd3Au from OQMD via LeMat-Bulk. Energies are from PBE.

The value obtained for the theoretical density is 8.35 g/cm³. Its total energy is -40.83 eV per cell.

Cell and atoms, written as POSCAR:
```
As5Pd3Au
1.0
5.439 0.000 0.000
-2.720 4.711 0.000
0.000 0.000 6.911
As Pd Au
5 3 1
Cartesian
0.000 3.140 1.381
0.000 3.140 5.531
0.000 0.000 3.456
2.720 1.570 1.381
2.720 1.570 5.531
2.720 0.000 3.456
1.360 2.355 3.456
-1.360 2.355 3.456
0.000 0.000 0.000
```

***

Here is a relaxed structure of As2PdAu from OQMD via LeMat-Bulk. Energies are from PBE.

The value obtained for the theoretical density is 10.72 g/cm³. As for the excess energy over the best structure of this formula in the dataset: 0 meV/atom.

Cell and atoms, written as POSCAR:
```
As2PdAu
1.0
-2.030 3.413 -1.008
-1.842 -0.014 3.660
6.217 4.626 3.146
Pd As Au
2 4 2
Cartesian
3.870 5.342 1.968
0.411 0.984 2.504
0.000 0.000 0.000
-1.936 1.700 1.326
0.696 2.979 0.362
3.585 3.346 4.111
3.108 2.313 1.573
1.173 4.013 2.899
```

***

Here is a relaxed structure of Sr2As2PdAu from OQMD via LeMat-Bulk. Energies are from PBE.

The value obtained for the theoretical density is 7.01 g/cm³. Its total energy is -26.87 eV per cell.

Cell and atoms, written as POSCAR:
```
Sr2As2PdAu
1.0
-0.517 -4.219 -1.158
4.021 1.563 0.892
-1.028 -2.211 8.511
As Sr Au Pd
2 2 1 1
Cartesian
0.996 -2.292 -0.475
-0.514 -1.105 4.255
1.747 -2.001 6.509
2.241 -0.939 2.419
0.000 0.000 0.000
0.482 -3.397 3.780
```

***

Here is a relaxed structure of PmAsAu from OQMD via LeMat-Bulk. Energies are from PBE.

The value obtained for the theoretical density is 9.14 g/cm³. As for the excess energy over the best structure of this formula in the dataset: 0 meV/atom. As for the magnetic moment: 0.004 μB per formula unit.

Cell and atoms, written as POSCAR:
```
PmAsAu
1.0
0.000 3.359 3.359
3.359 0.000 3.359
3.359 3.359 0.000
As Au Pm
1 1 1
Cartesian
1.679 1.679 1.679
0.000 0.000 0.000
5.038 5.038 5.038
```

***

Here is a relaxed structure of PmAsAu from OQMD via LeMat-Bulk. Energies are from PBE.

The value obtained for the theoretical density is 8.49 g/cm³. As for the excess energy over the best structure of this formula in the dataset: 79 meV/atom. As for the magnetic moment: 0.000 μB per formula unit.

Cell and atoms, written as POSCAR:
```
PmAsAu
1.0
0.000 3.441 3.441
3.441 0.000 3.441
3.441 3.441 0.000
Au As Pm
1 1 1
Cartesian
5.162 5.162 5.162
1.721 1.721 1.721
0.000 0.000 0.000
```

***

Here is a relaxed structure of AsPtAu2 from OQMD via LeMat-Bulk. Energies are from PBE.

The value obtained for the theoretical density is 15.98 g/cm³. Its total energy is -16.74 eV per cell. As for the magnetic moment: 0.000 μB per formula unit.

Cell and atoms, written as POSCAR:
```
AsPtAu2
1.0
-3.299 -1.543 2.816
-3.328 2.845 1.423
-4.300 -0.524 -1.561
Au Pt As
2 1 1
Cartesian
0.000 0.000 0.000
-8.196 0.583 2.009
-2.732 0.194 0.670
-5.464 0.389 1.339
```

***

Here is a relaxed structure of RbAs5Au3 from OQMD via LeMat-Bulk. Energies are from PBE.

The value obtained for the theoretical density is 8.39 g/cm³. Its total energy is -31.77 eV per cell.

Cell and atoms, written as POSCAR:
```
RbAs5Au3
1.0
-0.445 5.216 -2.294
-1.581 -4.592 -3.014
-6.824 0.594 2.674
Rb As Au
1 5 3
Cartesian
0.000 0.000 0.000
-2.225 2.069 -1.985
-2.604 -1.201 -2.225
-6.246 2.419 -0.409
-6.625 -0.851 -0.649
-3.412 0.297 1.337
-4.425 0.609 -1.317
-4.202 -1.999 -0.170
-3.634 2.905 0.190
```